*A*
! FeNiCl2 (GGA-PBE, relaxed); values from VASP
&SYSTEM
  ibrav = 0, nat = 4, ntyp = 3
/
ATOMIC_SPECIES
Cl 35.45 Cl.upf
Fe 55.84 Fe.upf
Ni 58.69 Ni.upf
CELL_PARAMETERS angstrom
3.090 0.000 0.000
0.000 3.091 0.000
0.000 0.000 6.191
ATOMIC_POSITIONS angstrom
Cl 0.000 0.000 0.020
Fe 1.545 1.546 1.548
Cl 0.000 0.000 3.075
Ni 1.545 1.546 4.643
! magnetization: 4.010 Bohr magnetons per cell
! SG: P4/mmm (123)

=====

*B*
! FeNiCl2 (GGA-PBE, relaxed); values from VASP
&SYSTEM
  ibrav = 0, nat = 4, ntyp = 3
/
ATOMIC_SPECIES
Cl 35.45 Cl.upf
Ni 58.69 Ni.upf
Fe 55.84 Fe.upf
CELL_PARAMETERS angstrom
-3.048 0.744 -0.759
-0.535 -1.821 2.611
0.391 5.829 4.145
ATOMIC_POSITIONS angstrom
Cl -1.656 1.488 2.366
Ni -1.512 3.624 3.885
Cl 0.346 5.155 3.665
Fe 0.217 3.230 2.297
! magnetization: 4.002 Bohr magnetons per cell
! SG: Cmm2 (35)

=====

Of them, *A* has the lowest stability.

=====

*A*
! FeNiCl2 (GGA-PBE, relaxed); values from VASP
&SYSTEM
  ibrav = 0, nat = 4, ntyp = 3
/
ATOMIC_SPECIES
Ni 58.69 Ni.upf
Fe 55.84 Fe.upf
Cl 35.45 Cl.upf
CELL_PARAMETERS angstrom
4.990 -0.060 0.053
0.453 4.970 -0.053
-1.412 -3.907 2.766
ATOMIC_POSITIONS angstrom
Ni 0.882 1.759 1.356
Fe 3.150 -0.756 1.410
Cl 0.047 0.042 0.000
Cl 2.675 2.413 0.000
! magnetization: 2.745 Bohr magnetons per cell
! SG: Immm (71)

=====

*B*
! FeNiCl2 (GGA-PBE, relaxed); values from VASP
&SYSTEM
  ibrav = 0, nat = 4, ntyp = 3
/
ATOMIC_SPECIES
Cl 35.45 Cl.upf
Fe 55.84 Fe.upf
Ni 58.69 Ni.upf
CELL_PARAMETERS angstrom
-0.202 0.191 -6.407
4.004 -1.402 -4.809
-2.732 -1.631 5.568
ATOMIC_POSITIONS angstrom
Cl 1.586 -1.819 -2.425
Fe 1.901 -0.605 -5.608
Ni -0.517 -1.023 -3.224
Cl 0.000 0.000 0.000
! magnetization: 3.603 Bohr magnetons per cell
! SG: I-4m2 (119)

=====

*C*
! FeNiCl2 (GGA-PBE, relaxed); values from VASP
&SYSTEM
  ibrav = 0, nat = 4, ntyp = 3
/
ATOMIC_SPECIES
Fe 55.84 Fe.upf
Ni 58.69 Ni.upf
Cl 35.45 Cl.upf
CELL_PARAMETERS angstrom
-1.840 0.232 -7.084
-4.774 -2.717 -4.842
1.950 3.144 6.319
ATOMIC_POSITIONS angstrom
Fe -2.831 -1.064 -5.105
Ni -3.399 -0.533 -2.843
Cl -0.032 -0.012 -0.057
Cl -1.709 1.025 -3.564
! magnetization: 3.988 Bohr magnetons per cell
! SG: Imm2 (44)

=====

Of them, *B* has the lowest stability.

=====

*A*
! FeNiP2Cl (GGA-PBE, relaxed); values from VASP
&SYSTEM
  ibrav = 0, nat = 5, ntyp = 4
/
ATOMIC_SPECIES
Ni 58.69 Ni.upf
Fe 55.84 Fe.upf
P 30.97 P.upf
Cl 35.45 Cl.upf
CELL_PARAMETERS angstrom
-0.725 3.593 2.291
-4.116 0.011 -1.320
-1.232 -2.685 3.821
ATOMIC_POSITIONS angstrom
Ni 0.000 0.000 0.000
Fe -3.037 0.459 2.396
P -2.058 0.005 -0.660
P -0.363 1.796 1.145
Cl -0.616 -1.343 1.910
! magnetization: 2.803 Bohr magnetons per cell
! SG: P4/mmm (123)

=====

*B*
! FeNiP2Cl (GGA-PBE, relaxed); values from VASP
&SYSTEM
  ibrav = 0, nat = 5, ntyp = 4
/
ATOMIC_SPECIES
Fe 55.84 Fe.upf
P 30.97 P.upf
Cl 35.45 Cl.upf
Ni 58.69 Ni.upf
CELL_PARAMETERS angstrom
-3.726 0.406 -1.903
1.666 -1.459 -3.573
-1.180 -4.601 1.329
ATOMIC_POSITIONS angstrom
Fe 0.000 0.000 0.000
P 0.833 -0.729 -1.786
Cl -0.590 -2.301 0.664
Ni -1.620 -2.827 -2.074
P -1.863 0.203 -0.952
! magnetization: 1.094 Bohr magnetons per cell
! SG: P4/mmm (123)

=====

Of them, *A* has the lowest stability.

=====

*A*
! FeNiSCl2 (GGA-PBE, relaxed); values from VASP
&SYSTEM
  ibrav = 0, nat = 5, ntyp = 4
/
ATOMIC_SPECIES
Fe 55.84 Fe.upf
S 32.06 S.upf
Ni 58.69 Ni.upf
Cl 35.45 Cl.upf
CELL_PARAMETERS angstrom
-4.201 1.113 -1.537
-0.458 -4.217 -1.804
-1.894 -1.534 4.066
ATOMIC_POSITIONS angstrom
Fe 0.000 0.000 0.000
S -0.947 -0.767 2.033
Ni -3.276 -2.319 0.363
Cl -0.229 -2.109 -0.902
Cl -2.101 0.557 -0.768
! magnetization: 4.999 Bohr magnetons per cell
! SG: P4/mmm (123)

=====

*B*
! FeNiSCl2 (GGA-PBE, relaxed); values from VASP
&SYSTEM
  ibrav = 0, nat = 5, ntyp = 4
/
ATOMIC_SPECIES
S 32.06 S.upf
Ni 58.69 Ni.upf
Cl 35.45 Cl.upf
Fe 55.84 Fe.upf
CELL_PARAMETERS angstrom
4.499 0.000 0.000
0.000 4.499 0.000
0.000 0.000 4.674
ATOMIC_POSITIONS angstrom
S 0.000 0.000 2.337
Ni 0.000 0.000 0.000
Cl 0.000 2.249 0.000
Fe 2.249 2.249 2.337
Cl 2.249 0.000 0.000
! magnetization: 4.087 Bohr magnetons per cell
! SG: P4/mmm (123)

=====

Of them, *A* has the lowest stability.